1.
A plane-wave DFT calculation with GGA-PBE was carried out for a relaxed structure of LaCrW2.

The formation energy comes out at 850 meV/atom. The calculation puts the total magnetization at 0.90 μB/cell. As for the crystal system: cubic.

a b c (Å): 4.628 4.628 4.628
angles (deg): 60.00 60.00 60.00
Fractional positions:
La: 0.000 0.000 0.000
Cr: 0.500 0.500 0.500
W: 0.250 0.250 0.250
W: 0.750 0.750 0.750

***

2.
A plane-wave DFT calculation with GGA-PBE was carried out for a relaxed structure of LaCr2W.

The formation energy comes out at 904 meV/atom. The calculation puts the total magnetization at 0.40 μB/cell. As for the crystal system: orthorhombic.

a b c (Å): 3.272 4.640 4.795
angles (deg): 90.00 90.00 90.00
Fractional positions:
La: 0.000 0.000 0.000
Cr: 0.000 0.500 0.500
Cr: 0.500 0.000 0.500
W: 0.500 0.500 0.000

***

no.,offset from the most stable computed form (eV/atom),mass density (g/cm³)
1,0.358,13.233
2,0.447,9.732